1.
Here is crystalline HoSi2AgOs at its relaxed geometry from the Open Quantum Materials Database. Energies are from GGA-PBE.

Geometry as CIF:
```
data_HoSi2AgOs
_chemical_formula_sum 'Ho2 Si4 Ag2 Os2'
_cell_length_a 4.1159
_cell_length_b 4.1159
_cell_length_c 10.1711
_cell_angle_alpha 90.00
_cell_angle_beta 90.00
_cell_angle_gamma 90.00
_symmetry_space_group_name_H-M 'I -4 m 2'
_symmetry_Int_Tables_number 119
_symmetry_space_group_name_Hall 'I -4 -2'
loop_
_atom_site_label
_atom_site_type_symbol
_atom_site_fract_x
_atom_site_fract_y
_atom_site_fract_z
Ho1 Ho 0.0000 0.0000 0.0000
Si1 Si 0.0000 0.0000 0.3850
Ag1 Ag 0.0000 0.5000 0.2500
Os1 Os 0.0000 0.5000 0.7500
```

Calculated values
Electronic total energy   -6.29 eV per atom
Total moment   0.01 μB/cell

2.
Here is crystalline UInOs at its relaxed geometry from the Open Quantum Materials Database. Energies are from GGA-PBE.

Geometry as CIF:
```
data_UInOs
_chemical_formula_sum 'U4 In4 Os4'
_cell_length_a 6.5399
_cell_length_b 6.5399
_cell_length_c 6.5399
_cell_angle_alpha 90.00
_cell_angle_beta 90.00
_cell_angle_gamma 90.00
_symmetry_space_group_name_H-M 'F -4 3 m'
_symmetry_Int_Tables_number 216
_symmetry_space_group_name_Hall 'F -4 2 3'
loop_
_atom_site_label
_atom_site_type_symbol
_atom_site_fract_x
_atom_site_fract_y
_atom_site_fract_z
U1 U 0.0000 0.0000 0.0000
In1 In 0.0000 0.0000 0.5000
Os1 Os 0.2500 0.2500 0.7500
```

Calculated values
Electronic total energy   -8.16 eV per atom
Total moment   8.75 μB/cell

3.
Here is crystalline InAuNO at its relaxed geometry from the Open Quantum Materials Database. Energies are from GGA-PBE.

Geometry as CIF:
```
data_InAuNO
_chemical_formula_sum 'In2 Au2 N2 O2'
_cell_length_a 3.3827
_cell_length_b 6.3994
_cell_length_c 6.1029
_cell_angle_alpha 90.00
_cell_angle_beta 90.00
_cell_angle_gamma 90.00
_symmetry_space_group_name_H-M 'P m c 21'
_symmetry_Int_Tables_number 26
loop_
_symmetry_equiv_pos_as_xyz
'x,y,z'
'-x,-y,z+1/2'
'-x,y,z'
'x,-y,z+1/2'
loop_
_atom_site_label
_atom_site_type_symbol
_atom_site_fract_x
_atom_site_fract_y
_atom_site_fract_z
In1 In 0.0000 0.1629 0.0000
Au1 Au 0.5000 0.3221 0.4340
N1 N 0.0000 0.1444 0.3566
O1 O 0.5000 0.3260 0.8997
```

Calculated values
Distance to the lowest polymorph of the same formula   63 meV/atom

4.
Here is crystalline ZrBeOs2 at its relaxed geometry from the Open Quantum Materials Database. Energies are from GGA-PBE.

Geometry as CIF:
```
data_ZrBeOs2
_chemical_formula_sum 'Zr4 Be4 Os8'
_cell_length_a 6.2256
_cell_length_b 6.2256
_cell_length_c 6.2256
_cell_angle_alpha 90.00
_cell_angle_beta 90.00
_cell_angle_gamma 90.00
_symmetry_space_group_name_H-M 'F -4 3 m'
_symmetry_Int_Tables_number 216
_symmetry_space_group_name_Hall 'F -4 2 3'
loop_
_atom_site_label
_atom_site_type_symbol
_atom_site_fract_x
_atom_site_fract_y
_atom_site_fract_z
Zr1 Zr 0.0000 0.0000 0.0000
Be1 Be 0.2500 0.2500 0.7500
Os1 Os 0.0000 0.0000 0.5000
Os2 Os 0.2500 0.2500 0.2500
```

Calculated values
Electronic total energy   -8.50 eV per atom
Total moment   1.38 μB/cell

5.
Here is crystalline Cs2ScAgI6 at its relaxed geometry from the Open Quantum Materials Database. Energies are from GGA-PBE.

Geometry as CIF:
```
data_Cs2ScAgI6
_chemical_formula_sum 'Cs8 Sc4 Ag4 I24'
_cell_length_a 11.8973
_cell_length_b 11.8973
_cell_length_c 11.8973
_cell_angle_alpha 90.00
_cell_angle_beta 90.00
_cell_angle_gamma 90.00
_symmetry_space_group_name_H-M 'F m -3 m'
_symmetry_Int_Tables_number 225
_symmetry_space_group_name_Hall '-F 4 2 3'
loop_
_atom_site_label
_atom_site_type_symbol
_atom_site_fract_x
_atom_site_fract_y
_atom_site_fract_z
Cs1 Cs 0.2500 0.2500 0.2500
Sc1 Sc 0.0000 0.0000 0.0000
Ag1 Ag 0.0000 0.0000 0.5000
I1 I 0.0000 0.0000 0.2446
```

Calculated values
Electronic total energy   -3.17 eV per atom
Total moment   0.00 μB/cell

6.
Here is crystalline LuBeB at its relaxed geometry from the Open Quantum Materials Database. Energies are from GGA-PBE.

Geometry as CIF:
```
data_LuBeB
_chemical_formula_sum 'Lu4 Be4 B4'
_cell_length_a 5.4785
_cell_length_b 5.4785
_cell_length_c 5.4785
_cell_angle_alpha 90.00
_cell_angle_beta 90.00
_cell_angle_gamma 90.00
_symmetry_space_group_name_H-M 'F -4 3 m'
_symmetry_Int_Tables_number 216
_symmetry_space_group_name_Hall 'F -4 2 3'
loop_
_atom_site_label
_atom_site_type_symbol
_atom_site_fract_x
_atom_site_fract_y
_atom_site_fract_z
Lu1 Lu 0.0000 0.0000 0.0000
Be1 Be 0.2500 0.2500 0.7500
B1 B 0.0000 0.0000 0.5000
```

Calculated values
Distance to the lowest polymorph of the same formula   0 meV/atom
Total moment   0.00 μB/cell

7.
Here is crystalline NaMgIr at its relaxed geometry from the Open Quantum Materials Database. Energies are from GGA-PBE.

Geometry as CIF:
```
data_NaMgIr
_chemical_formula_sum 'Na4 Mg4 Ir4'
_cell_length_a 6.2614
_cell_length_b 6.2614
_cell_length_c 6.2614
_cell_angle_alpha 90.00
_cell_angle_beta 90.00
_cell_angle_gamma 90.00
_symmetry_space_group_name_H-M 'F -4 3 m'
_symmetry_Int_Tables_number 216
_symmetry_space_group_name_Hall 'F -4 2 3'
loop_
_atom_site_label
_atom_site_type_symbol
_atom_site_fract_x
_atom_site_fract_y
_atom_site_fract_z
Na1 Na 0.0000 0.0000 0.0000
Mg1 Mg 0.2500 0.2500 0.2500
Ir1 Ir 0.2500 0.2500 0.7500
```

Calculated values
Distance to the lowest polymorph of the same formula   439 meV/atom
Total moment   0.02 μB/cell

8.
Here is crystalline Zr3CuSe at its relaxed geometry from the Open Quantum Materials Database. Energies are from GGA-PBE.

Geometry as CIF:
```
data_Zr3CuSe
_chemical_formula_sum 'Zr12 Cu4 Se4'
_cell_length_a 3.6051
_cell_length_b 11.9738
_cell_length_c 9.5407
_cell_angle_alpha 90.00
_cell_angle_beta 90.00
_cell_angle_gamma 90.00
_symmetry_space_group_name_H-M 'C m c m'
_symmetry_Int_Tables_number 63
_symmetry_space_group_name_Hall '-C 2c 2'
loop_
_atom_site_label
_atom_site_type_symbol
_atom_site_fract_x
_atom_site_fract_y
_atom_site_fract_z
Zr1 Zr 0.0000 0.0798 0.2500
Zr2 Zr 0.0000 0.3450 0.0722
Cu1 Cu 0.0000 0.2551 0.7500
Se1 Se 0.0000 0.0000 0.0000
```

Calculated values
Electronic total energy   -7.05 eV per atom
Total moment   0.03 μB/cell

Please write out number 6 again, unchanged.
Here is crystalline LuBeB at its relaxed geometry from the Open Quantum Materials Database. Energies are from GGA-PBE.

Geometry as CIF:
```
data_LuBeB
_chemical_formula_sum 'Lu4 Be4 B4'
_cell_length_a 5.4785
_cell_length_b 5.4785
_cell_length_c 5.4785
_cell_angle_alpha 90.00
_cell_angle_beta 90.00
_cell_angle_gamma 90.00
_symmetry_space_group_name_H-M 'F -4 3 m'
_symmetry_Int_Tables_number 216
_symmetry_space_group_name_Hall 'F -4 2 3'
loop_
_atom_site_label
_atom_site_type_symbol
_atom_site_fract_x
_atom_site_fract_y
_atom_site_fract_z
Lu1 Lu 0.0000 0.0000 0.0000
Be1 Be 0.2500 0.2500 0.7500
B1 B 0.0000 0.0000 0.5000
```

Calculated values
Distance to the lowest polymorph of the same formula   0 meV/atom
Total moment   0.00 μB/cell